1.
Ho3ThAl8 | PBE | optimized geometry

Geometry as POSCAR:
```
Ho3ThAl8
1.0
5.5863 0.0000 0.0000
2.7931 4.8379 0.0000
2.7931 1.6126 9.1280
Al Ho Th
8 3 1
direct
0.1869 0.1869 0.4394
0.4380 0.9391 0.1848
0.4380 0.4380 0.1848
0.4363 0.9368 0.6901
0.9368 0.4363 0.6901
0.6881 0.6881 0.9358
0.9391 0.4380 0.1848
0.9368 0.9368 0.6901
0.3749 0.3749 0.8752
0.4993 0.4993 0.5021
0.0007 0.0007 0.9978
0.8750 0.8750 0.3751
```

Summary:
**Energy above the lowest structure with this stoichiometry**: 0.000 eV/atom
**Total DFT energy (no corrections)**: -4.74 eV per atom


2.
HoTh2Al | PBE | optimized geometry

Geometry as POSCAR:
```
HoTh2Al
1.0
-1.8987 0.4912 -2.8502
-2.6967 -1.5333 1.5322
-2.9143 8.5357 3.4125
Ho Th Al
1 2 1
direct
0.5000 0.5000 0.5000
0.0000 0.0000 0.2202
0.0000 0.0000 0.7798
0.5000 0.5000 0.0000
```

Summary:
**Energy above the lowest structure with this stoichiometry**: 0.085 eV/atom
**Total DFT energy (no corrections)**: -5.84 eV per atom


3.
Ho2ThAl | PBE | optimized geometry

Geometry as POSCAR:
```
Ho2ThAl
1.0
-0.3761 2.3314 -4.8012
-2.6064 -2.4610 -3.9722
-4.7080 1.8985 -1.6907
Al Ho Th
1 2 1
direct
0.5000 0.5000 0.5000
0.2500 0.2500 0.2500
0.7500 0.7500 0.7500
0.0000 0.0000 0.0000
```

Summary:
**Energy above the lowest structure with this stoichiometry**: 0.255 eV/atom
**Total DFT energy (no corrections)**: -5.01 eV per atom


4.
Ho3ThAl4 | PBE | optimized geometry

Geometry as POSCAR:
```
Ho3ThAl4
1.0
-1.6488 4.5163 -1.7113
-3.4073 1.1748 6.3833
8.4138 4.4623 3.6699
Al Ho Th
8 6 2
direct
0.0012 0.7608 0.7500
0.5000 0.2393 0.5000
0.9988 0.2392 0.2500
0.0012 0.2392 0.7500
0.5000 0.7607 0.0000
0.5000 0.7607 0.5000
0.5000 0.2393 0.0000
0.9988 0.7608 0.2500
0.5009 0.0000 0.7500
0.4991 0.0000 0.2500
0.5009 0.5000 0.7500
0.4991 0.5000 0.2500
0.0000 0.0000 0.5000
0.0000 0.0000 0.0000
0.0000 0.5000 0.0000
0.0000 0.5000 0.5000
```

Summary:
**Total DFT energy (no corrections)**: -4.85 eV per atom


5.
HoTh2Al | PBE | optimized geometry

Geometry as POSCAR:
```
HoTh2Al
1.0
-3.5961 -1.6369 -2.8855
-1.6760 -2.6665 3.6014
-2.7775 3.6356 1.3992
Al Th Ho
1 2 1
direct
0.5000 0.0000 0.0000
0.0000 0.5000 0.0000
0.0000 0.0000 0.5000
0.5000 0.5000 0.5000
```

Summary:
**Energy above the lowest structure with this stoichiometry**: 0.000 eV/atom
**Total DFT energy (no corrections)**: -5.92 eV per atom


6.
Ho3Th2Al4 | PBE | optimized geometry

Geometry as POSCAR:
```
Ho3Th2Al4
1.0
-4.3822 0.3175 -4.9188
-6.3456 -0.2092 5.6399
2.3063 8.2964 2.9026
Al Th Ho
8 4 6
direct
0.2991 0.2500 0.0982
0.8278 0.0449 0.6557
0.1722 0.9551 0.3443
0.6722 0.5449 0.3443
0.7009 0.7500 0.9018
0.3278 0.4551 0.6557
0.7991 0.2500 0.0982
0.2009 0.7500 0.9018
0.3968 0.0891 0.7935
0.6032 0.9109 0.2065
0.1032 0.5891 0.2065
0.8968 0.4109 0.7935
0.0000 0.0000 0.0000
0.5000 0.5000 0.0000
0.0273 0.7500 0.5547
0.9727 0.2500 0.4453
0.4727 0.2500 0.4453
0.5273 0.7500 0.5547
```

Summary:
**Total DFT energy (no corrections)**: -4.99 eV per atom